The following is a PBE-GGA calculation of a relaxed NiAg2Hg crystal, from Alexandria.

Cell: 4.012 4.012 8.442 Å, 90.00 90.00 90.00°
Space group I4/mmm (No. 139)
Inequivalent atoms, fractional coordinates:
1 Ni 0.000 0.000 0.000 [2 per cell]
2 Ag 0.000 0.500 0.250 [4 per cell]
3 Hg 0.000 0.000 0.500 [2 per cell]

Crystal system: tetragonal
E, eV per atom: -2.756
Calculated formation energy, meV per atom: 191

***

The following is a PBE-GGA calculation of a relaxed Ni2AgHg2 crystal, from Alexandria.

Cell: 6.793 6.793 3.672 Å, 90.00 90.00 90.00°
Space group P4/mbm (No. 127)
Inequivalent atoms, fractional coordinates:
1 Ni 0.125 0.375 0.000 [4 per cell]
2 Ag 0.000 0.000 0.000 [2 per cell]
3 Hg 0.172 0.672 0.500 [4 per cell]

Crystal system: tetragonal
Excess energy over the best structure of this formula in the dataset, meV/atom: 0
E, eV per atom: -2.800
Calculated formation energy, meV per atom: 203

***

The following is a PBE-GGA calculation of a relaxed NiAg2Hg crystal, from Alexandria.

Cell: 2.944 3.853 6.073 Å, 90.00 90.00 90.00°
Space group Pmmm (No. 47)
Inequivalent atoms, fractional coordinates:
1 Ni 0.000 0.000 0.000 [1 per cell]
2 Ag 0.500 0.500 0.224 [2 per cell]
3 Hg 0.000 0.000 0.500 [1 per cell]

Crystal system: orthorhombic
E, eV per atom: -2.719
Calculated formation energy, meV per atom: 228

***

The following is a PBE-GGA calculation of a relaxed NiAgHg3 crystal, from Alexandria.

Cell: 5.379 5.379 5.379 Å, 90.00 90.00 90.00°
Space group Pm-3m (No. 221)
Inequivalent atoms, fractional coordinates:
1 Ni 0.000 0.000 0.000 [1 per cell]
2 Ag 0.500 0.500 0.500 [1 per cell]
3 Hg 0.000 0.500 0.500 [3 per cell]

Crystal system: cubic
Excess energy over the best structure of this formula in the dataset, meV/atom: 524
E, eV per atom: -1.052
Calculated formation energy, meV per atom: 855

***

The following is a PBE-GGA calculation of a relaxed NiAg2Hg crystal, from Alexandria.

Cell: 3.003 3.003 7.571 Å, 90.00 90.00 90.00°
Space group P4mm (No. 99)
Inequivalent atoms, fractional coordinates:
1 Ni 0.000 0.000 0.000 [1 per cell]
2 Ag 0.000 0.000 0.485 [1 per cell]
3 Ag 0.500 0.500 0.220 [1 per cell]
4 Hg 0.500 0.500 0.774 [1 per cell]

Crystal system: tetragonal
E, eV per atom: -2.785
Calculated formation energy, meV per atom: 162

***

The following is a PBE-GGA calculation of a relaxed NiAgHg2 crystal, from Alexandria.

Cell: 6.631 6.631 6.631 Å, 90.00 90.00 90.00°
Space group F-43m (No. 216)
Inequivalent atoms, fractional coordinates:
1 Ni 0.000 0.000 0.000 [4 per cell]
2 Ag 0.250 0.250 0.750 [4 per cell]
3 Hg 0.000 0.000 0.500 [4 per cell]
4 Hg 0.250 0.250 0.250 [4 per cell]

Crystal system: cubic
Excess energy over the best structure of this formula in the dataset, meV/atom: 155
E, eV per atom: -1.999
Calculated formation energy, meV per atom: 310

***

The following is a PBE-GGA calculation of a relaxed NiAg2Hg crystal, from Alexandria.

Cell: 2.9269 2.9269 28.2807 Å, 90.00 90.00 120.00°
Space group R-3m (No. 166, hexagonal axes)
Inequivalent atoms, fractional coordinates:
1 Ni 0.0000 0.0000 0.0000 [3 per cell]
2 Ag 0.0000 0.0000 0.2591 [6 per cell]
3 Hg 0.0000 0.0000 0.5000 [3 per cell]

Crystal system: trigonal
E, eV per atom: -2.719
Calculated formation energy, meV per atom: 227

***

The following is a PBE-GGA calculation of a relaxed NiAg2Hg2 crystal, from Alexandria.

Cell: 6.821 6.821 4.245 Å, 90.00 90.00 90.00°
Space group P4/mbm (No. 127)
Inequivalent atoms, fractional coordinates:
1 Ni 0.000 0.000 0.000 [2 per cell]
2 Ag 0.144 0.356 0.000 [4 per cell]
3 Hg 0.167 0.667 0.500 [4 per cell]

Crystal system: tetragonal
Excess energy over the best structure of this formula in the dataset, meV/atom: 24
E, eV per atom: -2.051
Calculated formation energy, meV per atom: 366

***

The following is a PBE-GGA calculation of a relaxed NiAgHg2 crystal, from Alexandria.

Cell: 3.084 3.084 7.886 Å, 90.00 90.00 90.00°
Space group P4mm (No. 99)
Inequivalent atoms, fractional coordinates:
1 Ni 0.000 0.000 0.000 [1 per cell]
2 Ag 0.500 0.500 0.205 [1 per cell]
3 Hg 0.000 0.000 0.475 [1 per cell]
4 Hg 0.500 0.500 0.795 [1 per cell]

Crystal system: tetragonal
Excess energy over the best structure of this formula in the dataset, meV/atom: 47
E, eV per atom: -2.107
Calculated formation energy, meV per atom: 202

***

The following is a PBE-GGA calculation of a relaxed Ni2Ag2Hg crystal, from Alexandria.

Cell: 3.793 3.793 11.962 Å, 90.00 90.00 90.00°
Space group I4/mmm (No. 139)
Inequivalent atoms, fractional coordinates:
1 Ni 0.000 0.000 0.096 [4 per cell]
2 Ag 0.000 0.500 0.250 [4 per cell]
3 Hg 0.000 0.000 0.500 [2 per cell]

Crystal system: tetragonal
Excess energy over the best structure of this formula in the dataset, meV/atom: 175
E, eV per atom: -3.065
Calculated formation energy, meV per atom: 448

***

The following is a PBE-GGA calculation of a relaxed Ni2Ag2Hg crystal, from Alexandria.

Cell: 7.406 7.406 2.872 Å, 90.00 90.00 90.00°
Space group P4/mbm (No. 127)
Inequivalent atoms, fractional coordinates:
1 Ni 0.163 0.337 0.000 [4 per cell]
2 Ag 0.133 0.633 0.500 [4 per cell]
3 Hg 0.000 0.000 0.500 [2 per cell]

Crystal system: tetragonal
Excess energy over the best structure of this formula in the dataset, meV/atom: 110
E, eV per atom: -3.130
Calculated formation energy, meV per atom: 383

***

The following is a PBE-GGA calculation of a relaxed NiAgHg2 crystal, from Alexandria.

Cell: 4.763 3.138 5.384 Å, 90.00 111.80 90.00°
Space group P2/m (No. 10)
Inequivalent atoms, fractional coordinates:
1 Ni 0.000 0.000 0.000 [1 per cell]
2 Ag 0.000 0.500 0.500 [1 per cell]
3 Hg 0.500 0.000 0.500 [1 per cell]
4 Hg 0.500 0.500 0.000 [1 per cell]

Crystal system: monoclinic
Excess energy over the best structure of this formula in the dataset, meV/atom: 105
E, eV per atom: -2.048
Calculated formation energy, meV per atom: 261